Record 1
Ca3RhO5, optimized geometry, DFT PBE; raw formation energy = -1944 meV per atom
1.0
6.445 0.000 0.000
0.000 6.445 0.000
-3.223 -3.223 5.937
Ca Rh O
6 2 10
direct
0.675 0.175 0.000
0.325 0.825 0.000
0.825 0.675 0.000
0.175 0.325 0.000
0.250 0.250 0.500
0.750 0.750 0.500
0.750 0.250 0.500
0.250 0.750 0.500
0.011 0.511 0.732
0.722 0.222 0.732
0.222 0.011 0.732
0.511 0.722 0.732
0.989 0.489 0.268
0.278 0.778 0.268
0.778 0.989 0.268
0.489 0.278 0.268
0.500 0.500 0.000
0.000 0.000 0.000

***

Record 2
Ca4RhO6, optimized geometry, DFT PBE; raw formation energy = -2360 meV per atom
1.0
6.589 -0.074 0.020
-0.019 6.590 0.020
0.075 0.074 6.589
Ca Rh O
8 2 12
direct
0.387 0.113 0.250
0.887 0.250 0.387
0.250 0.613 0.113
0.250 0.250 0.750
0.750 0.750 0.250
0.750 0.387 0.887
0.113 0.750 0.613
0.613 0.887 0.750
0.500 0.500 0.500
0.000 0.000 0.000
0.704 0.055 0.072
0.072 0.296 0.055
0.572 0.445 0.204
0.945 0.072 0.704
0.555 0.204 0.572
0.204 0.428 0.445
0.796 0.572 0.555
0.445 0.796 0.428
0.055 0.928 0.296
0.428 0.555 0.796
0.928 0.704 0.945
0.296 0.945 0.928

***

Number 1: VASP energy -6.18 eV per atom, DOS at the Fermi energy 8.72 states/eV/cell. Number 2: VASP energy -6.46 eV per atom, DOS at the Fermi energy 10.40 states/eV/cell.